[1]
# YCr, optimized geometry, DFT GGA-PBE
# DFT formation energy in eV/atom: 0.31
# DOS(E_F) in states/eV/cell: 17.73
data_YCr
_cell_length_a 5.801
_cell_length_b 5.681
_cell_length_c 11.049
_cell_angle_alpha 90.00
_cell_angle_beta 90.00
_cell_angle_gamma 90.00
_symmetry_space_group_name_H-M 'P 1'
_symmetry_Int_Tables_number 1
loop_
_symmetry_equiv_pos_as_xyz
'x,y,z'
loop_
_atom_site_label
_atom_site_type_symbol
_atom_site_fract_x
_atom_site_fract_y
_atom_site_fract_z
Y1 Y 0.830 0.134 0.731
Y2 Y 0.330 0.366 0.269
Y3 Y 0.170 0.634 0.769
Y4 Y 0.670 0.866 0.231
Y5 Y 0.108 0.871 0.431
Y6 Y 0.608 0.629 0.569
Y7 Y 0.892 0.371 0.069
Y8 Y 0.392 0.129 0.931
Cr1 Cr 0.345 0.152 0.639
Cr2 Cr 0.845 0.348 0.361
Cr3 Cr 0.655 0.652 0.861
Cr4 Cr 0.155 0.848 0.139
Cr5 Cr 0.397 0.641 0.024
Cr6 Cr 0.897 0.859 0.976
Cr7 Cr 0.603 0.141 0.476
Cr8 Cr 0.103 0.359 0.524

=====

[2]
# YCr3, optimized geometry, DFT GGA-PBE
# DFT formation energy in eV/atom: 0.51
# DOS(E_F) in states/eV/cell: 4.99
data_YCr3
_cell_length_a 3.129
_cell_length_b 4.610
_cell_length_c 5.255
_cell_angle_alpha 106.72
_cell_angle_beta 90.00
_cell_angle_gamma 109.84
_symmetry_space_group_name_H-M 'P 1'
_symmetry_Int_Tables_number 1
loop_
_symmetry_equiv_pos_as_xyz
'x,y,z'
loop_
_atom_site_label
_atom_site_type_symbol
_atom_site_fract_x
_atom_site_fract_y
_atom_site_fract_z
Cr1 Cr 0.960 0.921 0.876
Cr2 Cr 0.540 0.079 0.624
Cr3 Cr 0.250 0.500 0.750
Y1 Y 0.750 0.500 0.250

=====

[3]
# YCr, optimized geometry, DFT GGA-PBE
# DFT formation energy in eV/atom: 0.55
# DOS(E_F) in states/eV/cell: 16.47
data_YCr
_cell_length_a 9.457
_cell_length_b 9.457
_cell_length_c 3.634
_cell_angle_alpha 90.00
_cell_angle_beta 90.00
_cell_angle_gamma 120.00
_symmetry_space_group_name_H-M 'P 1'
_symmetry_Int_Tables_number 1
loop_
_symmetry_equiv_pos_as_xyz
'x,y,z'
loop_
_atom_site_label
_atom_site_type_symbol
_atom_site_fract_x
_atom_site_fract_y
_atom_site_fract_z
Y1 Y 0.817 0.634 0.250
Y2 Y 0.183 0.817 0.750
Y3 Y 0.366 0.183 0.250
Y4 Y 0.183 0.366 0.750
Y5 Y 0.817 0.183 0.250
Y6 Y 0.634 0.817 0.750
Cr1 Cr 0.457 0.914 0.250
Cr2 Cr 0.543 0.457 0.750
Cr3 Cr 0.086 0.543 0.250
Cr4 Cr 0.543 0.086 0.750
Cr5 Cr 0.457 0.543 0.250
Cr6 Cr 0.914 0.457 0.750

=====

[4]
# YCr, optimized geometry, DFT GGA-PBE
# DFT formation energy in eV/atom: 0.51
# DOS(E_F) in states/eV/cell: 4.16
data_YCr
_cell_length_a 5.225
_cell_length_b 6.598
_cell_length_c 3.346
_cell_angle_alpha 75.31
_cell_angle_beta 90.00
_cell_angle_gamma 122.46
_symmetry_space_group_name_H-M 'P 1'
_symmetry_Int_Tables_number 1
loop_
_symmetry_equiv_pos_as_xyz
'x,y,z'
loop_
_atom_site_label
_atom_site_type_symbol
_atom_site_fract_x
_atom_site_fract_y
_atom_site_fract_z
Cr1 Cr 0.992 0.047 0.976
Cr2 Cr 0.091 0.453 0.274
Y1 Y 0.428 0.956 0.522
Y2 Y 0.655 0.544 0.728

=====

[5]
# YCr3, optimized geometry, DFT GGA-PBE
# DFT formation energy in eV/atom: 0.39
# DOS(E_F) in states/eV/cell: 18.01
data_YCr3
_cell_length_a 7.550
_cell_length_b 6.164
_cell_length_c 5.683
_cell_angle_alpha 90.00
_cell_angle_beta 90.00
_cell_angle_gamma 90.00
_symmetry_space_group_name_H-M 'P 1'
_symmetry_Int_Tables_number 1
loop_
_symmetry_equiv_pos_as_xyz
'x,y,z'
loop_
_atom_site_label
_atom_site_type_symbol
_atom_site_fract_x
_atom_site_fract_y
_atom_site_fract_z
Y1 Y 0.032 0.250 0.379
Y2 Y 0.468 0.750 0.879
Y3 Y 0.532 0.250 0.121
Y4 Y 0.968 0.750 0.621
Cr1 Cr 0.892 0.250 0.862
Cr2 Cr 0.608 0.750 0.362
Cr3 Cr 0.392 0.250 0.638
Cr4 Cr 0.108 0.750 0.138
Cr5 Cr 0.331 0.922 0.401
Cr6 Cr 0.169 0.078 0.901
Cr7 Cr 0.831 0.578 0.099
Cr8 Cr 0.669 0.422 0.599
Cr9 Cr 0.669 0.078 0.599
Cr10 Cr 0.831 0.922 0.099
Cr11 Cr 0.169 0.422 0.901
Cr12 Cr 0.331 0.578 0.401

=====

[6]
# Y3Cr4, optimized geometry, DFT GGA-PBE
# Relative energy among the computed polymorphs in meV per atom: 724
# DFT formation energy in eV/atom: 1.06
# DOS(E_F) in states/eV/cell: 7.19
data_Y3Cr4
_cell_length_a 6.174
_cell_length_b 6.174
_cell_length_c 5.359
_cell_angle_alpha 90.00
_cell_angle_beta 90.00
_cell_angle_gamma 120.00
_symmetry_space_group_name_H-M 'P 1'
_symmetry_Int_Tables_number 1
loop_
_symmetry_equiv_pos_as_xyz
'x,y,z'
loop_
_atom_site_label
_atom_site_type_symbol
_atom_site_fract_x
_atom_site_fract_y
_atom_site_fract_z
Y1 Y 0.000 0.500 0.000
Y2 Y 0.500 0.500 0.000
Y3 Y 0.500 0.000 0.000
Cr1 Cr 0.000 0.000 0.254
Cr2 Cr 0.000 0.000 0.746
Cr3 Cr 0.667 0.333 0.500
Cr4 Cr 0.333 0.667 0.500

=====

[7]
# Y3Cr, optimized geometry, DFT GGA-PBE
# DFT formation energy in eV/atom: 0.37
# DOS(E_F) in states/eV/cell: 5.54
data_Y3Cr
_cell_length_a 3.522
_cell_length_b 10.732
_cell_length_c 3.522
_cell_angle_alpha 99.44
_cell_angle_beta 60.00
_cell_angle_gamma 99.44
_symmetry_space_group_name_H-M 'P 1'
_symmetry_Int_Tables_number 1
loop_
_symmetry_equiv_pos_as_xyz
'x,y,z'
loop_
_atom_site_label
_atom_site_type_symbol
_atom_site_fract_x
_atom_site_fract_y
_atom_site_fract_z
Cr1 Cr 0.000 0.000 0.000
Y1 Y 0.262 0.785 0.262
Y2 Y 0.500 0.500 0.500
Y3 Y 0.738 0.215 0.738

=====

[8]
# YCr, optimized geometry, DFT GGA-PBE
# DFT formation energy in eV/atom: 0.69
# DOS(E_F) in states/eV/cell: 2.13
data_YCr
_cell_length_a 5.111
_cell_length_b 5.111
_cell_length_c 5.111
_cell_angle_alpha 38.82
_cell_angle_beta 38.82
_cell_angle_gamma 38.82
_symmetry_space_group_name_H-M 'P 1'
_symmetry_Int_Tables_number 1
loop_
_symmetry_equiv_pos_as_xyz
'x,y,z'
loop_
_atom_site_label
_atom_site_type_symbol
_atom_site_fract_x
_atom_site_fract_y
_atom_site_fract_z
Cr1 Cr 0.000 0.000 0.000
Y1 Y 0.500 0.500 0.500

=====

[9]
# YCr, optimized geometry, DFT GGA-PBE
# DFT formation energy in eV/atom: 0.65
# DOS(E_F) in states/eV/cell: 3.58
data_YCr
_cell_length_a 3.426
_cell_length_b 5.370
_cell_length_c 5.174
_cell_angle_alpha 90.00
_cell_angle_beta 90.00
_cell_angle_gamma 90.00
_symmetry_space_group_name_H-M 'P 1'
_symmetry_Int_Tables_number 1
loop_
_symmetry_equiv_pos_as_xyz
'x,y,z'
loop_
_atom_site_label
_atom_site_type_symbol
_atom_site_fract_x
_atom_site_fract_y
_atom_site_fract_z
Cr1 Cr 0.000 0.000 0.029
Cr2 Cr 0.500 0.500 0.804
Y1 Y 0.000 0.500 0.292
Y2 Y 0.500 0.000 0.541

=====

[10]
# YCr2, optimized geometry, DFT GGA-PBE
# DFT formation energy in eV/atom: 1.03
# DOS(E_F) in states/eV/cell: 3.43
data_YCr2
_cell_length_a 3.234
_cell_length_b 3.234
_cell_length_c 7.082
_cell_angle_alpha 90.00
_cell_angle_beta 90.00
_cell_angle_gamma 120.00
_symmetry_space_group_name_H-M 'P 1'
_symmetry_Int_Tables_number 1
loop_
_symmetry_equiv_pos_as_xyz
'x,y,z'
loop_
_atom_site_label
_atom_site_type_symbol
_atom_site_fract_x
_atom_site_fract_y
_atom_site_fract_z
Cr1 Cr 0.000 0.000 0.991
Cr2 Cr 0.333 0.667 0.675
Y1 Y 0.667 0.333 0.333

=====

[11]
# YZn2Cr2, optimized geometry, DFT GGA-PBE
# DFT formation energy in eV/atom: 0.19
# DOS(E_F) in states/eV/cell: 3.81
data_YZn2Cr2
_cell_length_a 4.199
_cell_length_b 4.199
_cell_length_c 5.748
_cell_angle_alpha 68.57
_cell_angle_beta 68.57
_cell_angle_gamma 90.00
_symmetry_space_group_name_H-M 'P 1'
_symmetry_Int_Tables_number 1
loop_
_symmetry_equiv_pos_as_xyz
'x,y,z'
loop_
_atom_site_label
_atom_site_type_symbol
_atom_site_fract_x
_atom_site_fract_y
_atom_site_fract_z
Y1 Y 0.000 0.000 0.000
Cr1 Cr 0.406 0.406 0.187
Cr2 Cr 0.594 0.594 0.813
Zn1 Zn 0.750 0.250 0.500
Zn2 Zn 0.250 0.750 0.500

=====

[12]
# Y4ZnCr, optimized geometry, DFT GGA-PBE
# DFT formation energy in eV/atom: 0.70
# DOS(E_F) in states/eV/cell: 6.07
data_Y4ZnCr
_cell_length_a 6.248
_cell_length_b 6.248
_cell_length_c 6.248
_cell_angle_alpha 60.00
_cell_angle_beta 60.00
_cell_angle_gamma 60.00
_symmetry_space_group_name_H-M 'P 1'
_symmetry_Int_Tables_number 1
loop_
_symmetry_equiv_pos_as_xyz
'x,y,z'
loop_
_atom_site_label
_atom_site_type_symbol
_atom_site_fract_x
_atom_site_fract_y
_atom_site_fract_z
Y1 Y 0.875 0.375 0.375
Y2 Y 0.375 0.375 0.875
Y3 Y 0.375 0.875 0.375
Y4 Y 0.375 0.375 0.375
Zn1 Zn 0.750 0.750 0.750
Cr1 Cr 0.000 0.000 0.000

=====

[13]
# Y2ZnCr2, optimized geometry, DFT GGA-PBE
# DFT formation energy in eV/atom: 0.22
# DOS(E_F) in states/eV/cell: 4.78
data_Y2ZnCr2
_cell_length_a 6.818
_cell_length_b 6.818
_cell_length_c 4.359
_cell_angle_alpha 90.00
_cell_angle_beta 90.00
_cell_angle_gamma 90.00
_symmetry_space_group_name_H-M 'P 1'
_symmetry_Int_Tables_number 1
loop_
_symmetry_equiv_pos_as_xyz
'x,y,z'
loop_
_atom_site_label
_atom_site_type_symbol
_atom_site_fract_x
_atom_site_fract_y
_atom_site_fract_z
Y1 Y 0.187 0.687 0.500
Y2 Y 0.687 0.813 0.500
Y3 Y 0.813 0.313 0.500
Y4 Y 0.313 0.187 0.500
Cr1 Cr 0.400 0.900 0.000
Cr2 Cr 0.900 0.600 0.000
Cr3 Cr 0.600 0.100 0.000
Cr4 Cr 0.100 0.400 0.000
Zn1 Zn 0.000 0.000 0.000
Zn2 Zn 0.500 0.500 0.000

=====

[14]
# Y2Zn2Cr, optimized geometry, DFT GGA-PBE
# DFT formation energy in eV/atom: -0.04
# DOS(E_F) in states/eV/cell: 10.28
data_Y2Zn2Cr
_cell_length_a 7.051
_cell_length_b 7.051
_cell_length_c 4.469
_cell_angle_alpha 90.00
_cell_angle_beta 90.00
_cell_angle_gamma 90.00
_symmetry_space_group_name_H-M 'P 1'
_symmetry_Int_Tables_number 1
loop_
_symmetry_equiv_pos_as_xyz
'x,y,z'
loop_
_atom_site_label
_atom_site_type_symbol
_atom_site_fract_x
_atom_site_fract_y
_atom_site_fract_z
Y1 Y 0.178 0.678 0.500
Y2 Y 0.678 0.822 0.500
Y3 Y 0.822 0.322 0.500
Y4 Y 0.322 0.178 0.500
Cr1 Cr 0.000 0.000 0.000
Cr2 Cr 0.500 0.500 0.000
Zn1 Zn 0.373 0.873 0.000
Zn2 Zn 0.873 0.627 0.000
Zn3 Zn 0.627 0.127 0.000
Zn4 Zn 0.127 0.373 0.000

=====

[15]
# YZrCr2, optimized geometry, DFT GGA-PBE
# Relative energy among the computed polymorphs in meV per atom: 252
# DFT formation energy in eV/atom: 0.51
# DOS(E_F) in states/eV/cell: 4.20
data_YZrCr2
_cell_length_a 5.583
_cell_length_b 5.583
_cell_length_c 5.583
_cell_angle_alpha 136.12
_cell_angle_beta 136.12
_cell_angle_gamma 63.79
_symmetry_space_group_name_H-M 'P 1'
_symmetry_Int_Tables_number 1
loop_
_symmetry_equiv_pos_as_xyz
'x,y,z'
loop_
_atom_site_label
_atom_site_type_symbol
_atom_site_fract_x
_atom_site_fract_y
_atom_site_fract_z
Cr1 Cr 0.000 0.000 0.000
Cr2 Cr 0.250 0.750 0.500
Y1 Y 0.500 0.500 0.000
Zr1 Zr 0.750 0.250 0.500

=====

[16]
# YZrCr2, optimized geometry, DFT GGA-PBE
# Relative energy among the computed polymorphs in meV per atom: 538
# DFT formation energy in eV/atom: 0.80
# DOS(E_F) in states/eV/cell: 11.65
data_YZrCr2
_cell_length_a 7.499
_cell_length_b 7.499
_cell_length_c 6.121
_cell_angle_alpha 52.22
_cell_angle_beta 52.22
_cell_angle_gamma 90.00
_symmetry_space_group_name_H-M 'P 1'
_symmetry_Int_Tables_number 1
loop_
_symmetry_equiv_pos_as_xyz
'x,y,z'
loop_
_atom_site_label
_atom_site_type_symbol
_atom_site_fract_x
_atom_site_fract_y
_atom_site_fract_z
Y1 Y 0.500 0.500 0.000
Y2 Y 0.250 0.750 0.500
Cr1 Cr 0.641 0.125 0.250
Cr2 Cr 0.109 0.625 0.250
Cr3 Cr 0.375 0.359 0.750
Cr4 Cr 0.875 0.891 0.750
Zr1 Zr 0.000 0.000 0.000
Zr2 Zr 0.750 0.250 0.500

=====

[17]
# YZr2Cr, optimized geometry, DFT GGA-PBE
# Relative energy among the computed polymorphs in meV per atom: 133
# DFT formation energy in eV/atom: 0.33
# DOS(E_F) in states/eV/cell: 5.64
data_YZr2Cr
_cell_length_a 4.429
_cell_length_b 4.429
_cell_length_c 4.691
_cell_angle_alpha 90.00
_cell_angle_beta 90.00
_cell_angle_gamma 89.98
_symmetry_space_group_name_H-M 'P 1'
_symmetry_Int_Tables_number 1
loop_
_symmetry_equiv_pos_as_xyz
'x,y,z'
loop_
_atom_site_label
_atom_site_type_symbol
_atom_site_fract_x
_atom_site_fract_y
_atom_site_fract_z
Cr1 Cr 0.500 0.000 0.500
Y1 Y 0.000 0.500 0.500
Zr1 Zr 0.000 0.000 0.000
Zr2 Zr 0.500 0.500 0.000

=====

[18]
# YZrCr, optimized geometry, DFT GGA-PBE
# Relative energy among the computed polymorphs in meV per atom: 97
# DFT formation energy in eV/atom: 0.38
# DOS(E_F) in states/eV/cell: 2.74
data_YZrCr
_cell_length_a 4.872
_cell_length_b 4.872
_cell_length_c 3.339
_cell_angle_alpha 90.00
_cell_angle_beta 90.00
_cell_angle_gamma 120.00
_symmetry_space_group_name_H-M 'P 1'
_symmetry_Int_Tables_number 1
loop_
_symmetry_equiv_pos_as_xyz
'x,y,z'
loop_
_atom_site_label
_atom_site_type_symbol
_atom_site_fract_x
_atom_site_fract_y
_atom_site_fract_z
Cr1 Cr 0.000 0.000 0.844
Y1 Y 0.667 0.333 0.331
Zr1 Zr 0.333 0.667 0.826

=====

[19]
# YZrCr2, optimized geometry, DFT GGA-PBE
# Relative energy among the computed polymorphs in meV per atom: 106
# DFT formation energy in eV/atom: 0.37
# DOS(E_F) in states/eV/cell: 5.02
data_YZrCr2
_cell_length_a 3.795
_cell_length_b 3.146
_cell_length_c 6.848
_cell_angle_alpha 74.34
_cell_angle_beta 90.00
_cell_angle_gamma 90.00
_symmetry_space_group_name_H-M 'P 1'
_symmetry_Int_Tables_number 1
loop_
_symmetry_equiv_pos_as_xyz
'x,y,z'
loop_
_atom_site_label
_atom_site_type_symbol
_atom_site_fract_x
_atom_site_fract_y
_atom_site_fract_z
Cr1 Cr 0.000 0.048 0.040
Cr2 Cr 0.500 0.204 0.183
Y1 Y 0.000 0.473 0.458
Zr1 Zr 0.500 0.775 0.819

=====

[20]
# YZr2Cr, optimized geometry, DFT GGA-PBE
# Relative energy among the computed polymorphs in meV per atom: 117
# DFT formation energy in eV/atom: 0.32
# DOS(E_F) in states/eV/cell: 2.95
data_YZr2Cr
_cell_length_a 5.078
_cell_length_b 5.078
_cell_length_c 5.078
_cell_angle_alpha 60.00
_cell_angle_beta 60.00
_cell_angle_gamma 60.00
_symmetry_space_group_name_H-M 'P 1'
_symmetry_Int_Tables_number 1
loop_
_symmetry_equiv_pos_as_xyz
'x,y,z'
loop_
_atom_site_label
_atom_site_type_symbol
_atom_site_fract_x
_atom_site_fract_y
_atom_site_fract_z
Cr1 Cr 0.500 0.500 0.500
Y1 Y 0.750 0.750 0.750
Zr1 Zr 0.000 0.000 0.000
Zr2 Zr 0.250 0.250 0.250